1.
Mn5Tl3Br12, relaxed, DFT PBE-GGA; magnetization = 96.000 μB per cell; E_tot = -0.321 Ry per atom; space group = Ia-3d (230)
1.0
-14.8968 0.4695 -1.0034
5.0054 -12.6770 -6.1140
4.0418 0.5323 14.3709
Tl Br Mn
12 48 20
Cartesian
-1.4475 -7.6140 -0.6048
-1.5828 -1.2676 4.3740
-4.4021 -4.0612 7.8583
2.9408 -7.3400 8.5024
-4.2667 -10.4076 2.8795
5.5490 -10.6345 5.3030
0.6939 -8.9990 4.0200
-6.5435 -2.6762 3.2334
-11.3986 -1.0408 1.9505
-8.7903 -4.3353 -1.2490
-8.7754 -9.0305 -3.6671
2.9259 -2.6448 10.9206
0.8137 -8.4912 -3.1218
-10.6689 -0.4444 7.2900
0.7953 -5.1435 -1.2828
-9.7655 -1.0748 -1.1398
-6.6632 -3.1840 10.3753
-3.4125 -4.9113 -1.6304
-0.5307 -6.1851 2.3466
1.7550 -0.5906 13.3706
5.6295 -7.3705 6.2692
-7.9649 -5.5425 1.8258
-2.4371 -6.7639 8.8839
0.5580 -0.6363 9.3153
-11.4791 -4.3047 0.9843
-1.1842 -11.8232 3.1747
-6.6449 -6.5318 8.5362
2.3750 -11.8550 5.1311
-6.7831 -1.8720 6.5333
-3.2043 -0.9004 7.4486
-6.2594 -2.2018 -0.1263
0.4192 -2.1457 1.6466
-6.7258 -7.0073 -1.6863
0.4099 -9.4735 7.3797
-3.3601 -3.4707 2.3232
-8.2246 0.1798 2.1223
-2.4403 -3.3227 10.5414
-6.2688 -9.5295 5.6068
-1.7249 -4.4250 5.6406
1.4491 -1.9897 5.7448
2.1154 -6.1327 5.4276
0.9336 -9.8032 0.7202
-9.7711 -3.1605 4.2035
-4.1247 -7.2503 1.6128
-7.6046 -11.0846 -6.1172
-3.4093 -8.3526 -3.2879
5.0911 -4.6957 9.2778
-5.3189 -5.4901 4.9068
3.9216 -8.5148 3.0500
-2.4894 -8.2046 4.9302
-4.6654 0.1479 4.0788
0.8763 -4.6680 8.9398
-6.4075 -11.0389 -2.0619
-9.4648 -0.1943 11.3357
4.8193 -11.2308 -0.0366
-7.2987 -9.6856 1.5087
-2.6452 -10.7748 -0.1952
3.6152 -11.4809 -4.0823
3.9160 -10.6004 8.3932
-10.9407 -6.9796 -2.0244
0.0000 0.0000 0.0000
-6.5285 -7.3714 0.8153
3.4076 -9.2495 0.6782
-3.9203 -10.6659 -2.3842
-3.8297 -2.9267 -0.1084
2.0209 0.2662 7.1854
-7.0103 -0.7668 11.0577
1.0254 -4.5621 1.1745
-4.9457 -6.1038 -3.5587
-2.0198 -8.7486 7.3619
-7.4484 0.2347 -0.5017
0.6790 -4.3038 6.4382
-1.9292 -1.0093 9.6376
2.5027 -6.3385 -3.0570
-2.9248 -5.8376 3.6267
4.5236 -6.0724 4.1284
-5.4275 0.5009 6.6837
-6.8749 -7.1131 6.0789
1.1607 -10.9085 -3.8042
-9.2572 -2.4258 6.5753


2.
Mn2TlBr, relaxed, DFT PBE-GGA; magnetization = 8.127 μB per cell; E_tot = -0.373 Ry per atom; energy above the lowest structure with this stoichiometry = 28.3 kJ per mole of atoms; space group = P4/mmm (123)
1.0
-0.1696 0.6005 -3.1062
-0.4007 -5.0456 -0.9536
-5.1275 0.3418 0.3460
Tl Br Mn
1 1 2
Cartesian
-0.2851 -2.2225 -2.0299
-2.6485 0.4711 -1.3801
-2.7641 -2.3519 -0.3038
0.0000 0.0000 0.0000


3.
Mn2Tl3Br8, relaxed, DFT PBE-GGA; magnetization = 9.000 μB per cell; E_tot = -0.275 Ry per atom; space group = C2/m (12)
1.0
7.5241 0.0753 2.4079
3.4064 6.7093 2.4079
0.6791 0.4216 9.8837
Br Tl Mn
8 3 2
Cartesian
4.7016 5.3782 9.3753
8.3434 5.1788 6.6332
6.9080 1.8281 5.3241
4.7037 5.3794 5.3241
3.8106 2.3653 2.2375
3.2663 2.0275 8.0663
6.9059 1.8269 9.3753
7.7991 4.8410 12.4619
9.4738 5.8805 10.0027
0.0000 0.0000 0.0000
2.1359 1.3258 4.6968
6.8408 4.2462 4.9669
4.7688 2.9601 9.7326


4.
Mn2TlBr, relaxed, DFT PBE-GGA; magnetization = 8.931 μB per cell; E_tot = -0.353 Ry per atom; energy above the lowest structure with this stoichiometry = 54.3 kJ per mole of atoms; space group = F-43m (216)
1.0
-0.7407 2.7742 4.2854
-4.2041 2.9526 0.4667
-3.7242 -1.3208 3.3160
Mn Br Tl
2 1 1
Cartesian
0.0000 0.0000 0.0000
-2.1672 1.1015 2.0170
-4.3345 2.2030 4.0341
-6.5017 3.3045 6.0511


5.
MnTl3Br, relaxed, DFT PBE-GGA; magnetization = 2.820 μB per cell; E_tot = -0.258 Ry per atom; energy above the lowest structure with this stoichiometry = 0.0 kJ per mole of atoms; space group = Pm-3m (221)
1.0
5.3361 0.0000 0.0000
0.0000 5.3361 0.0000
0.0000 0.0000 5.3361
Tl Br Mn
3 1 1
Cartesian
2.6681 0.0000 0.0000
0.0000 2.6681 0.0000
0.0000 0.0000 2.6681
2.6681 2.6681 2.6681
0.0000 0.0000 0.0000


6.
MnTlBr4, relaxed, DFT PBE-GGA; magnetization = 4.009 μB per cell; E_tot = -0.275 Ry per atom; energy above the lowest structure with this stoichiometry = 0.0 kJ per mole of atoms; space group = P-1 (2)
1.0
-0.9079 3.0807 -2.5435
-5.0359 -5.6251 -0.0261
-1.2233 4.9183 6.3425
Mn Br Tl
1 4 1
Cartesian
-2.1311 7.9986 3.7989
-5.4179 1.6327 2.2446
-1.7492 0.7411 1.5284
-4.3332 -2.7439 -0.7169
-2.8334 5.1183 4.4898
-6.1012 -1.6257 1.8733


7.
MnTl2Br6, relaxed, DFT PBE-GGA; magnetization = 3.015 μB per cell; E_tot = -0.248 Ry per atom; space group = Fm-3m (225)
1.0
-2.5962 -3.1923 -6.0894
-3.9104 -6.2036 0.4845
-7.2135 0.0842 -1.4036
Br Tl Mn
6 2 1
Cartesian
-6.6737 -7.1552 -4.6118
-9.1083 -5.4276 -2.1411
-5.3048 -5.4720 -1.4010
-4.6118 -3.8842 -4.8673
-7.0464 -2.1566 -2.3966
-8.4153 -3.8398 -5.6074
-3.4300 -2.3280 -1.7521
-10.2901 -6.9839 -5.2563
0.0000 0.0000 0.0000


8.
Mn2TlBr, relaxed, DFT PBE-GGA; magnetization = 16.254 μB per cell; E_tot = -0.376 Ry per atom; energy above the lowest structure with this stoichiometry = 24.3 kJ per mole of atoms; space group = I-42d (122)
1.0
-3.5003 -5.4786 3.6880
3.8640 1.6861 6.1721
-2.1133 0.1593 5.8053
Br Mn Tl
2 4 2
Cartesian
0.1819 -1.8963 4.9300
0.9663 -0.0254 8.4537
-1.3361 -3.2292 12.8707
-1.3792 -1.2724 8.1623
-2.1701 -3.0751 4.4616
1.3863 0.3104 5.8361
0.0000 0.0000 0.0000
-2.7158 -3.6078 7.2117


9.
Mn2TlBr, relaxed, DFT PBE-GGA; magnetization = 8.240 μB per cell; E_tot = -0.375 Ry per atom; energy above the lowest structure with this stoichiometry = 25.2 kJ per mole of atoms; space group = Pmmm (47)
1.0
3.2905 0.0000 0.0000
0.0000 5.6078 0.0000
0.0000 0.0000 4.7762
Mn Tl Br
2 1 1
Cartesian
0.0000 0.0000 0.0000
1.6452 2.8039 0.0000
1.6452 0.0000 2.3881
0.0000 2.8039 2.3881


10.
MnTl3Br8, relaxed, DFT PBE-GGA; magnetization = 4.467 μB per cell; E_tot = -0.211 Ry per atom; space group = I4/mmm (139)
1.0
7.2739 0.0000 0.0000
0.0000 7.2739 0.0000
-3.6370 -3.6370 7.2430
Mn Br Tl
1 8 3
Cartesian
0.0000 0.0000 0.0000
5.5748 5.5748 1.6977
1.6991 5.5748 1.6977
-1.9379 -1.9379 5.5452
5.5748 1.6991 1.6977
1.9379 -1.9379 5.5452
-1.9379 1.9379 5.5452
1.9379 1.9379 5.5452
1.6991 1.6991 1.6977
3.6370 0.0000 3.6215
0.0000 3.6370 3.6215
3.6370 3.6370 0.0000


11.
MnTl2Br8, relaxed, DFT PBE-GGA; magnetization = 4.591 μB per cell; E_tot = -0.220 Ry per atom; space group = P-1 (2)
1.0
-2.8656 0.5042 2.5176
-7.8549 -0.8290 -5.8568
3.2889 -10.6352 -0.0255
Br Tl Mn
8 2 1
Cartesian
-3.9612 -0.3268 1.4366
-2.7065 -8.7017 -1.3648
-8.8010 -3.0984 -3.5449
1.3694 -7.8616 0.1803
-5.7558 -5.8878 -2.4521
-4.7251 -2.2583 -1.9998
-1.6757 -5.0722 -0.9126
-3.4704 -10.6332 -4.8013
-7.1343 -3.6070 -1.5348
-0.2973 -7.3530 -1.8299
-1.4328 0.2521 1.2588


12.
UMnTl2Br8, relaxed, DFT PBE-GGA; magnetization = 7.000 μB per cell; E_tot = -0.309 Ry per atom; space group = P-1 (2)
1.0
7.4607 -0.1729 -0.0062
-0.2211 7.0012 -0.0056
0.0015 0.0133 8.6192
Br Tl Mn U
8 2 1 1
Cartesian
0.7656 5.4060 6.4026
4.8591 5.4095 4.3011
0.7638 5.3989 2.2099
5.1124 5.5416 8.6090
2.3821 1.4321 4.3063
6.4774 1.4427 6.3976
2.1288 1.3000 -0.0015
6.4756 1.4356 2.2048
3.6211 3.4227 6.6131
3.6201 3.4189 1.9943
0.0000 0.0000 0.0000
0.0008 0.0066 4.3096


13.
MnTl2VBr6, relaxed, DFT PBE-GGA; magnetization = 8.000 μB per cell; E_tot = -0.299 Ry per atom; space group = R-3 (148)
1.0
7.5189 0.0010 -0.0007
3.7603 6.5119 -0.0003
3.7585 2.1713 5.9875
Br Tl V Mn
6 2 1 1
Cartesian
9.1696 5.7950 4.8022
7.9519 2.1828 4.8070
5.4330 5.0431 4.8030
3.3258 4.3312 1.7963
2.1078 0.7178 1.8012
5.8456 1.4701 1.8004
7.5194 4.3434 1.8086
3.7585 2.1699 4.7958
3.7596 2.1709 0.3079
11.2786 6.5131 3.3024


14.
Mn2TlZnBr8, relaxed, DFT PBE-GGA; magnetization = 9.391 μB per cell; E_tot = -0.265 Ry per atom; space group = P2/m (10)
1.0
-1.0430 1.1898 6.5991
2.3683 -5.7502 1.6134
7.3717 3.2015 0.5884
Br Tl Mn Zn
8 1 2 1
Cartesian
1.3170 0.3205 5.9948
4.0159 0.3270 3.0925
7.3800 -1.6794 2.8060
1.0336 -3.3928 5.5156
5.4511 2.1153 6.3248
7.6634 2.0339 3.2853
3.2459 -3.4741 2.4761
4.6811 -1.6859 5.7083
3.6858 1.6008 0.2942
6.2714 0.1559 4.5544
2.4256 -1.5148 4.2464
0.0000 0.0000 0.0000


15.
MnTl2ZnBr6, relaxed, DFT PBE-GGA; magnetization = 5.000 μB per cell; E_tot = -0.247 Ry per atom; space group = P1 (1)
1.0
8.7849 1.5660 -0.2174
5.6504 7.6200 -0.4995
4.5757 2.6371 6.4273
Br Tl Zn Mn
6 2 1 1
Cartesian
6.8329 6.3914 3.8677
9.8280 4.1695 5.2814
11.7870 7.4140 4.2340
3.3609 1.6963 2.3701
4.4007 5.0720 0.6463
7.2982 2.7517 2.0311
9.5667 5.8389 2.3980
13.0045 4.3427 5.0929
5.0376 2.6880 0.9439
13.4730 8.0626 2.5266


16.
TmMnBr, relaxed, DFT PBE-GGA; magnetization = 0.000 μB per cell; E_tot = -0.442 Ry per atom; space group = Cm (8)
1.0
3.7393 0.0000 0.6278
1.8206 3.2706 0.6063
-0.1200 -0.0298 12.1648
Tm Mn Br
2 2 2
Cartesian
2.0370 2.7343 10.7671
1.4819 2.3946 2.6234
3.7055 1.4897 0.8296
1.8522 0.3991 0.4178
1.1987 0.0407 4.3103
2.3858 0.7266 8.6899


17.
MnVBr6, relaxed, DFT PBE-GGA; magnetization = 6.000 μB per cell; E_tot = -0.312 Ry per atom; space group = C2/m (12)
1.0
-1.3901 0.4439 -6.3157
6.4480 1.8870 2.9971
-0.3658 -7.1344 0.7636
V Br Mn
1 6 1
Cartesian
3.2240 0.9435 1.4986
2.5069 -3.6266 -3.0533
2.1852 -1.1769 0.4983
4.0556 1.5755 -0.7047
-0.7605 -4.5844 -4.5612
1.0023 0.7555 -2.6139
5.4525 -0.2191 2.0062
0.0000 0.0000 0.0000


18.
MnV2Br6, relaxed, DFT PBE-GGA; magnetization = 11.010 μB per cell; E_tot = -0.364 Ry per atom; energy above the lowest structure with this stoichiometry = 0.0 kJ per mole of atoms; space group = C2/m (12)
1.0
3.8545 0.0000 0.0000
-1.9272 6.8477 -2.6272
0.0000 0.0099 9.8992
Br Mn V
6 1 2
Cartesian
1.9272 1.8856 4.7591
0.0000 0.4885 7.6054
0.0000 4.0983 7.1970
1.9272 2.7594 0.0749
1.9272 6.3692 -0.3335
0.0000 4.9721 2.5129
3.8544 0.0050 4.9496
0.0000 4.5653 -0.1058
1.9272 2.2924 7.3777


19.
Mn3VBr, relaxed, DFT PBE-GGA; magnetization = 11.635 μB per cell; E_tot = -0.463 Ry per atom; energy above the lowest structure with this stoichiometry = 34.5 kJ per mole of atoms; space group = Pm-3m (221)
1.0
4.4953 0.0000 0.0000
0.0000 4.4953 0.0000
0.0000 0.0000 4.4953
Mn V Br
3 1 1
Cartesian
2.2476 0.0000 0.0000
0.0000 2.2476 0.0000
0.0000 0.0000 2.2476
2.2476 2.2476 2.2476
0.0000 0.0000 0.0000


20.
MnVBr3, relaxed, DFT PBE-GGA; magnetization = 8.765 μB per cell; E_tot = -0.346 Ry per atom; energy above the lowest structure with this stoichiometry = 0.0 kJ per mole of atoms; space group = Pm-3m (221)
1.0
-0.1756 -2.8287 -4.3682
4.7911 1.6185 -1.2407
2.0317 -4.0611 2.5481
Br Mn V
3 1 1
Cartesian
-0.0878 -1.4143 -2.1841
1.0159 -2.0306 1.2741
2.3956 0.8092 -0.6203
3.3236 -2.6357 -1.5304
0.0000 0.0000 0.0000


21.
MnVBr2, relaxed, DFT PBE-GGA; magnetization = 16.471 μB per cell; E_tot = -0.371 Ry per atom; energy above the lowest structure with this stoichiometry = 0.0 kJ per mole of atoms; space group = I-42d (122)
1.0
5.0307 0.0000 0.0000
0.0000 5.0307 0.0000
2.5154 2.5154 7.9187
Br V Mn
4 2 2
Cartesian
1.2860 3.7730 1.9797
3.7730 3.8014 5.9390
3.7447 1.2577 1.9797
6.2884 6.2600 5.9390
2.5154 2.5154 0.0000
2.5154 5.0307 3.9593
5.0307 2.5154 3.9593
0.0000 0.0000 0.0000